(1)
## NdErGe4Os2 (PBE)

Data for a relaxed structure of NdErGe4Os2.

Properties
E_tot	-6.748	eV/atom
total magnetization	0.00	μB/cell
ρ	10.1	g cm⁻³

Lattice parameters (Å, degrees): 4.475 4.455 8.350 90.00 104.57 90.00
Sites, in units of the cell vectors:
Er 0.627 0.000 0.714
Ge 0.674 0.500 0.005
Ge 0.959 0.000 0.413
Ge 0.045 0.500 0.588
Ge 0.317 0.000 0.990
Nd 0.389 0.500 0.295
Os 0.887 0.000 0.114
Os 0.103 0.500 0.882

(2)
## Er3NiGe3 (PBE)

Data for a relaxed structure of Er3NiGe3.

Properties
E_tot	-5.570	eV/atom
total magnetization	0.00	μB/cell
ρ	9.1	g cm⁻³

Lattice parameters (Å, degrees): 5.629 5.629 13.715 108.55 108.55 43.87
Sites, in units of the cell vectors:
Er 0.468 0.468 0.118
Er 0.255 0.255 0.271
Er 0.598 0.598 0.421
Er 0.402 0.402 0.579
Er 0.745 0.745 0.729
Er 0.532 0.532 0.882
Ge 0.140 0.140 0.045
Ge 0.960 0.960 0.262
Ge 0.874 0.874 0.424
Ge 0.126 0.126 0.576
Ge 0.040 0.040 0.738
Ge 0.860 0.860 0.955
Ni 0.754 0.754 0.100
Ni 0.246 0.246 0.900

(3)
## Er3NiGe5 (PBE)

Data for a relaxed structure of Er3NiGe5.

Properties
E_tot	-5.319	eV/atom
total magnetization	0.00	μB/cell
ρ	8.7	g cm⁻³

Lattice parameters (Å, degrees): 7.066 7.066 4.056 90.00 90.00 120.00
Sites, in units of the cell vectors:
Er 0.607 0.000 0.000
Er 0.393 0.393 0.000
Er 0.000 0.607 0.000
Ge 0.233 0.000 0.500
Ge 0.000 0.233 0.500
Ge 0.667 0.333 0.500
Ge 0.333 0.667 0.500
Ge 0.767 0.767 0.500
Ni 0.000 0.000 0.000

(4)
## ErNiGe2 (PBE)

Data for a relaxed structure of ErNiGe2.

Properties
E_tot	-5.537	eV/atom
total magnetization	0.00	μB/cell
ρ	8.8	g cm⁻³

Lattice parameters (Å, degrees): 4.151 8.508 9.259 117.35 102.95 90.00
Sites, in units of the cell vectors:
Er 0.000 0.260 0.000
Er 0.000 0.740 0.000
Er 0.204 0.704 0.408
Er 0.796 0.296 0.592
Ge 0.577 0.577 0.154
Ge 0.580 0.080 0.159
Ge 0.196 0.039 0.392
Ge 0.196 0.353 0.392
Ge 0.804 0.647 0.608
Ge 0.804 0.961 0.608
Ge 0.420 0.920 0.841
Ge 0.423 0.423 0.846
Ni 0.648 0.399 0.296
Ni 0.648 0.897 0.296
Ni 0.352 0.103 0.704
Ni 0.352 0.601 0.704

(5)
## Er4Ni2Ge5 (PBE)

Data for a relaxed structure of Er4Ni2Ge5.

Properties
E_tot	-5.538	eV/atom
total magnetization	0.00	μB/cell
ρ	9.0	g cm⁻³

Lattice parameters (Å, degrees): 7.894 7.894 6.972 107.70 107.70 30.83
Sites, in units of the cell vectors:
Er 0.347 0.347 0.060
Er 0.587 0.587 0.381
Er 0.413 0.413 0.619
Er 0.653 0.653 0.940
Ge 0.000 0.000 0.000
Ge 0.204 0.204 0.265
Ge 0.934 0.934 0.337
Ge 0.066 0.066 0.663
Ge 0.796 0.796 0.735
Ni 0.782 0.782 0.367
Ni 0.218 0.218 0.633

(6)
## ErNi4Ge6 (PBE)

Data for a relaxed structure of ErNi4Ge6.

Properties
E_tot	-5.283	eV/atom
total magnetization	0.00	μB/cell
ρ	8.0	g cm⁻³

Lattice parameters (Å, degrees): 6.253 6.253 6.253 119.19 119.19 91.41
Sites, in units of the cell vectors:
Er 0.000 0.000 0.000
Ge 0.480 0.122 0.000
Ge 0.122 0.480 0.000
Ge 0.878 0.878 0.358
Ge 0.500 0.000 0.500
Ge 0.000 0.500 0.500
Ge 0.520 0.520 0.642
Ni 0.759 0.406 0.000
Ni 0.406 0.759 0.000
Ni 0.594 0.594 0.353
Ni 0.241 0.241 0.647